! KTbBi | OQMD | PBE | relaxed; values from VASP
&SYSTEM
  ibrav = 0, nat = 3, ntyp = 3
/
ATOMIC_SPECIES
Bi 208.98 Bi.upf
K 39.10 K.upf
Tb 158.93 Tb.upf
CELL_PARAMETERS angstrom
0.000 3.840 3.840
3.840 0.000 3.840
3.840 3.840 0.000
ATOMIC_POSITIONS crystal
Bi 0.250 0.250 0.250
K 0.000 0.000 0.000
Tb 0.750 0.750 0.750
! space-group type	F-43m
! total magnetic moment	0.58	μB per cell
! E	-2.823	eV/atom
! V	37.756	A^3/atom